[1]
{"formula": "BeNi2Ir", "functional": "meta-GGA SCAN", "state": "single point on PBEsol structure", "lattice_angstrom": [[1.3360, -2.1554, 0.0000], [1.3360, 2.1554, 0.0000], [0.0000, 0.0000, 7.7523]], "species": ["Be", "Ni", "Ni", "Ir"], "frac_coords": [[0.0000, 0.0000, 0.0000], [0.0000, 0.0000, 0.4747], [0.5000, 0.5000, 0.2195], [0.5000, 0.5000, 0.7573]], "formation_enthalpy_0k_mev_per_atom": -23}

---

[2]
{"formula": "BeNi2Ir", "functional": "meta-GGA SCAN", "state": "single point on PBEsol structure", "lattice_angstrom": [[2.4163, -3.5480, 0.0000], [2.4163, 3.5480, 0.0000], [0.0000, 0.0000, 2.5717]], "species": ["Be", "Ni", "Ni", "Ir"], "frac_coords": [[0.0000, 0.0000, 0.0000], [0.0000, 0.5000, 0.5000], [0.5000, 0.0000, 0.5000], [0.5000, 0.5000, 0.0000]], "formation_enthalpy_0k_mev_per_atom": -197}

---

[3]
{"formula": "BeNi2Ir", "functional": "meta-GGA SCAN", "state": "single point on PBEsol structure", "lattice_angstrom": [[4.2313, -1.3098, 0.0000], [4.2313, 1.3098, 0.0000], [-1.5324, 0.0000, 3.8971]], "species": ["Be", "Ni", "Ni", "Ir"], "frac_coords": [[0.0000, 0.0000, 0.0000], [0.2811, 0.2811, 0.6903], [0.5188, 0.5188, 0.5018], [0.7460, 0.7460, 0.1638]], "formation_enthalpy_0k_mev_per_atom": -226}

---

[4]
{"formula": "BeNi2Ir", "functional": "meta-GGA SCAN", "state": "single point on PBEsol structure", "lattice_angstrom": [[4.1224, 0.0000, 0.0000], [0.0000, 4.1224, 0.0000], [0.0000, 0.0000, 2.6346]], "species": ["Be", "Ni", "Ni", "Ir"], "frac_coords": [[0.0000, 0.0000, 0.0000], [0.0000, 0.5000, 0.5000], [0.5000, 0.0000, 0.5000], [0.5000, 0.5000, 0.0000]], "formation_enthalpy_0k_mev_per_atom": -79}

---

[5]
{"formula": "BeNi2Ir", "functional": "meta-GGA SCAN", "state": "single point on PBEsol structure", "lattice_angstrom": [[-1.3805, 1.9362, 3.9505], [1.3805, -1.9362, 3.9505], [1.3805, 1.9362, -3.9505]], "species": ["Be", "Ni", "Ni", "Ir"], "frac_coords": [[0.0000, 0.0000, 0.0000], [0.2283, 0.7283, 0.5000], [0.7717, 0.2717, 0.5000], [0.5000, 0.5000, 0.0000]], "formation_enthalpy_0k_mev_per_atom": -265}

---

[6]
{"formula": "BeNi2IrRh", "functional": "meta-GGA SCAN", "state": "single point on PBEsol structure", "lattice_angstrom": [[4.3790, 0.0000, 0.0000], [0.0000, 4.3790, 0.0000], [0.0000, 0.0000, 4.6143]], "species": ["Be", "Ni", "Ni", "Ir", "Rh"], "frac_coords": [[0.0000, 0.0000, 0.0000], [0.0000, 0.5000, 0.5000], [0.5000, 0.0000, 0.5000], [0.5000, 0.5000, 0.0000], [0.5000, 0.5000, 0.5000]], "formation_enthalpy_0k_mev_per_atom": 1720}

---

[7]
{"formula": "BeIrOs2", "functional": "meta-GGA SCAN", "state": "single point on PBEsol structure", "lattice_angstrom": [[2.7513, 0.0000, 0.0000], [0.0000, 2.7513, 0.0000], [0.0000, 0.0000, 6.5424]], "species": ["Be", "Ir", "Os", "Os"], "frac_coords": [[0.0000, 0.0000, 0.0000], [0.5000, 0.5000, 0.2070], [0.0000, 0.0000, 0.4994], [0.5000, 0.5000, 0.7738]], "formation_enthalpy_0k_mev_per_atom": -213}

---

[8]
{"formula": "BeIrOs", "functional": "meta-GGA SCAN", "state": "single point on PBEsol structure", "lattice_angstrom": [[0.0000, 2.8154, 2.8154], [2.8154, 0.0000, 2.8154], [2.8154, 2.8154, 0.0000]], "species": ["Be", "Ir", "Os"], "frac_coords": [[0.0000, 0.0000, 0.0000], [0.5000, 0.5000, 0.5000], [0.2500, 0.2500, 0.2500]], "formation_enthalpy_0k_mev_per_atom": 258}